DFT (PBE-GGA) results for a relaxed structure of Tl12Rh3F5.

- calculated total energy (eV/atom) = -3.628
- M_tot (μB per cell) = 0.0
- symmetry = Ia-3d, No. 230
- crystal system = cubic
- energy relative to the elements, uncorrected (eV/atom) = -0.6379

abc: 13.9463 13.9463 13.9463
angles: 109.47 109.47 109.47
Sites, in units of the cell vectors:
Tl 0.0495 0.2233 0.1377
Tl 0.0495 0.3262 0.9118
Tl 0.0856 0.7233 0.6738
Tl 0.0856 0.8623 0.4118
Tl 0.0882 0.6377 0.4144
Tl 0.0882 0.9505 0.6738
Tl 0.1377 0.0495 0.2233
Tl 0.1377 0.5882 0.9144
Tl 0.1738 0.2233 0.5856
Tl 0.1738 0.4505 0.5882
Tl 0.2233 0.1377 0.0495
Tl 0.2233 0.5856 0.1738
Tl 0.2767 0.3262 0.9144
Tl 0.2767 0.4505 0.3623
Tl 0.3262 0.9118 0.0495
Tl 0.3262 0.9144 0.2767
Tl 0.3623 0.2767 0.4505
Tl 0.3623 0.5856 0.9118
Tl 0.4118 0.0856 0.8623
Tl 0.4118 0.8262 0.5495
Tl 0.4144 0.0882 0.6377
Tl 0.4144 0.8262 0.7767
Tl 0.4505 0.3623 0.2767
Tl 0.4505 0.5882 0.1738
Tl 0.5495 0.4118 0.8262
Tl 0.5495 0.6377 0.7233
Tl 0.5856 0.1738 0.2233
Tl 0.5856 0.9118 0.3623
Tl 0.5882 0.1738 0.4505
Tl 0.5882 0.9144 0.1377
Tl 0.6377 0.4144 0.0882
Tl 0.6377 0.7233 0.5495
Tl 0.6738 0.0856 0.7233
Tl 0.6738 0.0882 0.9505
Tl 0.7233 0.5495 0.6377
Tl 0.7233 0.6738 0.0856
Tl 0.7767 0.4144 0.8262
Tl 0.7767 0.8623 0.9505
Tl 0.8262 0.5495 0.4118
Tl 0.8262 0.7767 0.4144
Tl 0.8623 0.4118 0.0856
Tl 0.8623 0.9505 0.7767
Tl 0.9118 0.0495 0.3262
Tl 0.9118 0.3623 0.5856
Tl 0.9144 0.1377 0.5882
Tl 0.9144 0.2767 0.3262
Tl 0.9505 0.6738 0.0882
Tl 0.9505 0.7767 0.8623
Rh 0.1250 0.2500 0.3750
Rh 0.1250 0.3750 0.7500
Rh 0.2500 0.3750 0.1250
Rh 0.2500 0.8750 0.6250
Rh 0.3750 0.1250 0.2500
Rh 0.3750 0.7500 0.1250
Rh 0.6250 0.2500 0.8750
Rh 0.6250 0.8750 0.7500
Rh 0.7500 0.1250 0.3750
Rh 0.7500 0.6250 0.8750
Rh 0.8750 0.6250 0.2500
Rh 0.8750 0.7500 0.6250
F 0.0000 0.0000 0.0000
F 0.0000 0.0000 0.5000
F 0.0000 0.5000 0.0000
F 0.0000 0.5000 0.5000
F 0.1250 0.7500 0.8750
F 0.1250 0.8750 0.2500
F 0.2500 0.1250 0.8750
F 0.2500 0.6250 0.3750
F 0.3750 0.2500 0.6250
F 0.3750 0.6250 0.7500
F 0.5000 0.0000 0.0000
F 0.5000 0.0000 0.5000
F 0.5000 0.5000 0.0000
F 0.5000 0.5000 0.5000
F 0.6250 0.3750 0.2500
F 0.6250 0.7500 0.3750
F 0.7500 0.3750 0.6250
F 0.7500 0.8750 0.1250
F 0.8750 0.1250 0.7500
F 0.8750 0.2500 0.1250